Run 1
# ReNiIO2, optimized geometry, DFT PBE with a Hubbard U
# **D(E_F)**: 5.1 states/eV/cell
data_ReNiIO2
_chemical_formula_sum 'Re1 Ni1 I1 O2'
_space_group_name_H-M_alt 'P 4/m m m'
_space_group_IT_number 123
_space_group_name_Hall '-P 4 2'
_cell_length_a 3.8734
_cell_length_b 3.8734
_cell_length_c 5.1482
_cell_angle_alpha 90.00
_cell_angle_beta 90.00
_cell_angle_gamma 90.00
loop_
_atom_site_label
_atom_site_type_symbol
_atom_site_fract_x
_atom_site_fract_y
_atom_site_fract_z
Re1 Re 0.0000 0.0000 0.0000
Ni1 Ni 0.5000 0.5000 0.5000
I1 I 0.5000 0.5000 0.0000
O1 O 0.0000 0.5000 0.5000

Run 2
# ReNiIO2, optimized geometry, DFT PBE with a Hubbard U
# **D(E_F)**: 1.2 states/eV/cell
data_ReNiIO2
_chemical_formula_sum 'Re1 Ni1 I1 O2'
_space_group_name_H-M_alt 'P 4/m m m'
_space_group_IT_number 123
_space_group_name_Hall '-P 4 2'
_cell_length_a 3.7707
_cell_length_b 3.7707
_cell_length_c 5.9604
_cell_angle_alpha 90.00
_cell_angle_beta 90.00
_cell_angle_gamma 90.00
loop_
_atom_site_label
_atom_site_type_symbol
_atom_site_fract_x
_atom_site_fract_y
_atom_site_fract_z
Re1 Re 0.0000 0.0000 0.0000
Ni1 Ni 0.5000 0.5000 0.5000
I1 I 0.0000 0.0000 0.5000
O1 O 0.0000 0.5000 0.0000

Relative to the most stable one, in eV/atom, the structures come out at run 1 1.377; run 2 0.000.

Run 1
# NiRuI2O, optimized geometry, DFT PBE with a Hubbard U
# **D(E_F)**: 6.2 states/eV/cell
data_NiRuI2O
_chemical_formula_sum 'Ni1 Ru1 I2 O1'
_space_group_name_H-M_alt 'P 4/m m m'
_space_group_IT_number 123
_space_group_name_Hall '-P 4 2'
_cell_length_a 5.5306
_cell_length_b 5.5306
_cell_length_c 3.5340
_cell_angle_alpha 90.00
_cell_angle_beta 90.00
_cell_angle_gamma 90.00
loop_
_atom_site_label
_atom_site_type_symbol
_atom_site_fract_x
_atom_site_fract_y
_atom_site_fract_z
Ni1 Ni 0.0000 0.0000 0.0000
Ru1 Ru 0.5000 0.5000 0.5000
I1 I 0.0000 0.5000 0.0000
O1 O 0.0000 0.0000 0.5000

Run 2
# NiRuI2O, optimized geometry, DFT PBE with a Hubbard U
# **D(E_F)**: 8.7 states/eV/cell
data_NiRuI2O
_chemical_formula_sum 'Ni1 Ru1 I2 O1'
_space_group_name_H-M_alt 'P 4/m m m'
_space_group_IT_number 123
_space_group_name_Hall '-P 4 2'
_cell_length_a 5.4714
_cell_length_b 5.4714
_cell_length_c 3.7072
_cell_angle_alpha 90.00
_cell_angle_beta 90.00
_cell_angle_gamma 90.00
loop_
_atom_site_label
_atom_site_type_symbol
_atom_site_fract_x
_atom_site_fract_y
_atom_site_fract_z
Ni1 Ni 0.0000 0.0000 0.0000
Ru1 Ru 0.5000 0.5000 0.5000
I1 I 0.0000 0.5000 0.5000
O1 O 0.5000 0.5000 0.0000

Relative to the most stable one, in eV/atom, the structures come out at run 1 0.187; run 2 0.000.

Run 1
# NiRuIO2, optimized geometry, DFT PBE with a Hubbard U
# **D(E_F)**: 4.3 states/eV/cell
data_NiRuIO2
_chemical_formula_sum 'Ni1 Ru1 I1 O2'
_space_group_name_H-M_alt 'P 4/m m m'
_space_group_IT_number 123
_space_group_name_Hall '-P 4 2'
_cell_length_a 3.8308
_cell_length_b 3.8308
_cell_length_c 5.7578
_cell_angle_alpha 90.00
_cell_angle_beta 90.00
_cell_angle_gamma 90.00
loop_
_atom_site_label
_atom_site_type_symbol
_atom_site_fract_x
_atom_site_fract_y
_atom_site_fract_z
Ni1 Ni 0.0000 0.0000 0.0000
Ru1 Ru 0.5000 0.5000 0.5000
I1 I 0.0000 0.0000 0.5000
O1 O 0.0000 0.5000 0.0000

Run 2
# NiRuIO2, optimized geometry, DFT PBE with a Hubbard U
# **D(E_F)**: 2.7 states/eV/cell
data_NiRuIO2
_chemical_formula_sum 'Ni1 Ru1 I1 O2'
_space_group_name_H-M_alt 'P 4/m m m'
_space_group_IT_number 123
_space_group_name_Hall '-P 4 2'
_cell_length_a 3.7473
_cell_length_b 3.7473
_cell_length_c 7.2665
_cell_angle_alpha 90.00
_cell_angle_beta 90.00
_cell_angle_gamma 90.00
loop_
_atom_site_label
_atom_site_type_symbol
_atom_site_fract_x
_atom_site_fract_y
_atom_site_fract_z
Ni1 Ni 0.0000 0.0000 0.0000
Ru1 Ru 0.5000 0.5000 0.5000
I1 I 0.5000 0.5000 0.0000
O1 O 0.0000 0.5000 0.5000

Relative to the most stable one, in eV/atom, the structures come out at run 1 0.828; run 2 0.000.

Run 1
# NiSb2IO, optimized geometry, DFT PBE with a Hubbard U
# **D(E_F)**: 6.1 states/eV/cell
data_NiSb2IO
_chemical_formula_sum 'Ni1 Sb2 I1 O1'
_space_group_name_H-M_alt 'P 4/m m m'
_space_group_IT_number 123
_space_group_name_Hall '-P 4 2'
_cell_length_a 4.8990
_cell_length_b 4.8990
_cell_length_c 5.0006
_cell_angle_alpha 90.00
_cell_angle_beta 90.00
_cell_angle_gamma 90.00
loop_
_atom_site_label
_atom_site_type_symbol
_atom_site_fract_x
_atom_site_fract_y
_atom_site_fract_z
Ni1 Ni 0.0000 0.0000 0.0000
Sb1 Sb 0.0000 0.5000 0.0000
I1 I 0.0000 0.0000 0.5000
O1 O 0.5000 0.5000 0.5000

Run 2
# NiSb2IO, optimized geometry, DFT PBE with a Hubbard U
# **D(E_F)**: 3.9 states/eV/cell
data_NiSb2IO
_chemical_formula_sum 'Ni1 Sb2 I1 O1'
_space_group_name_H-M_alt 'P 4/m m m'
_space_group_IT_number 123
_space_group_name_Hall '-P 4 2'
_cell_length_a 5.4136
_cell_length_b 5.4136
_cell_length_c 3.6702
_cell_angle_alpha 90.00
_cell_angle_beta 90.00
_cell_angle_gamma 90.00
loop_
_atom_site_label
_atom_site_type_symbol
_atom_site_fract_x
_atom_site_fract_y
_atom_site_fract_z
Ni1 Ni 0.0000 0.0000 0.0000
Sb1 Sb 0.0000 0.5000 0.0000
I1 I 0.5000 0.5000 0.5000
O1 O 0.0000 0.0000 0.5000

Run 3
# NiSb2IO, optimized geometry, DFT PBE with a Hubbard U
# **D(E_F)**: 3.1 states/eV/cell
data_NiSb2IO
_chemical_formula_sum 'Ni1 Sb2 I1 O1'
_space_group_name_H-M_alt 'P 4/m m m'
_space_group_IT_number 123
_space_group_name_Hall '-P 4 2'
_cell_length_a 4.4056
_cell_length_b 4.4056
_cell_length_c 7.2491
_cell_angle_alpha 90.00
_cell_angle_beta 90.00
_cell_angle_gamma 90.00
loop_
_atom_site_label
_atom_site_type_symbol
_atom_site_fract_x
_atom_site_fract_y
_atom_site_fract_z
Ni1 Ni 0.0000 0.0000 0.0000
Sb1 Sb 0.0000 0.5000 0.5000
I1 I 0.5000 0.5000 0.0000
O1 O 0.5000 0.5000 0.5000

Relative to the most stable one, in eV/atom, the structures come out at run 1 0.663; run 2 0.000; run 3 0.103.

Run 1
# NiSbIO2, optimized geometry, DFT PBE with a Hubbard U
# **D(E_F)**: 2.4 states/eV/cell
data_NiSbIO2
_chemical_formula_sum 'Ni1 Sb1 I1 O2'
_space_group_name_H-M_alt 'P 4/m m m'
_space_group_IT_number 123
_space_group_name_Hall '-P 4 2'
_cell_length_a 4.1958
_cell_length_b 4.1958
_cell_length_c 5.0087
_cell_angle_alpha 90.00
_cell_angle_beta 90.00
_cell_angle_gamma 90.00
loop_
_atom_site_label
_atom_site_type_symbol
_atom_site_fract_x
_atom_site_fract_y
_atom_site_fract_z
Ni1 Ni 0.0000 0.0000 0.0000
Sb1 Sb 0.5000 0.5000 0.5000
I1 I 0.0000 0.0000 0.5000
O1 O 0.0000 0.5000 0.0000

Run 2
# NiSbIO2, optimized geometry, DFT PBE with a Hubbard U
# **D(E_F)**: 0.8 states/eV/cell
data_NiSbIO2
_chemical_formula_sum 'Ni1 Sb1 I1 O2'
_space_group_name_H-M_alt 'P 4/m m m'
_space_group_IT_number 123
_space_group_name_Hall '-P 4 2'
_cell_length_a 3.9923
_cell_length_b 3.9923
_cell_length_c 6.8374
_cell_angle_alpha 90.00
_cell_angle_beta 90.00
_cell_angle_gamma 90.00
loop_
_atom_site_label
_atom_site_type_symbol
_atom_site_fract_x
_atom_site_fract_y
_atom_site_fract_z
Ni1 Ni 0.0000 0.0000 0.0000
Sb1 Sb 0.5000 0.5000 0.5000
I1 I 0.5000 0.5000 0.0000
O1 O 0.0000 0.5000 0.5000

Relative to the most stable one, in eV/atom, the structures come out at run 1 0.598; run 2 0.000.

Run 1
# ScNiI2O, optimized geometry, DFT PBE with a Hubbard U
# **D(E_F)**: 2.6 states/eV/cell
data_ScNiI2O
_chemical_formula_sum 'Sc1 Ni1 I2 O1'
_space_group_name_H-M_alt 'P 4/m m m'
_space_group_IT_number 123
_space_group_name_Hall '-P 4 2'
_cell_length_a 5.6375
_cell_length_b 5.6375
_cell_length_c 3.6098
_cell_angle_alpha 90.00
_cell_angle_beta 90.00
_cell_angle_gamma 90.00
loop_
_atom_site_label
_atom_site_type_symbol
_atom_site_fract_x
_atom_site_fract_y
_atom_site_fract_z
Sc1 Sc 0.0000 0.0000 0.0000
Ni1 Ni 0.5000 0.5000 0.5000
I1 I 0.0000 0.5000 0.5000
O1 O 0.5000 0.5000 0.0000

Run 2
# ScNiI2O, optimized geometry, DFT PBE with a Hubbard U
# **D(E_F)**: 0.5 states/eV/cell
data_ScNiI2O
_chemical_formula_sum 'Sc1 Ni1 I2 O1'
_space_group_name_H-M_alt 'P 4/m m m'
_space_group_IT_number 123
_space_group_name_Hall '-P 4 2'
_cell_length_a 5.8817
_cell_length_b 5.8817
_cell_length_c 3.8771
_cell_angle_alpha 90.00
_cell_angle_beta 90.00
_cell_angle_gamma 90.00
loop_
_atom_site_label
_atom_site_type_symbol
_atom_site_fract_x
_atom_site_fract_y
_atom_site_fract_z
Sc1 Sc 0.0000 0.0000 0.0000
Ni1 Ni 0.5000 0.5000 0.5000
I1 I 0.0000 0.5000 0.0000
O1 O 0.0000 0.0000 0.5000

Relative to the most stable one, in eV/atom, the structures come out at run 1 0.632; run 2 0.000.

Run 1
# NiSnIO2, optimized geometry, DFT PBE with a Hubbard U
# **D(E_F)**: 1.4 states/eV/cell
data_NiSnIO2
_chemical_formula_sum 'Ni1 Sn1 I1 O2'
_space_group_name_H-M_alt 'P 4/m m m'
_space_group_IT_number 123
_space_group_name_Hall '-P 4 2'
_cell_length_a 4.2340
_cell_length_b 4.2340
_cell_length_c 5.2647
_cell_angle_alpha 90.00
_cell_angle_beta 90.00
_cell_angle_gamma 90.00
loop_
_atom_site_label
_atom_site_type_symbol
_atom_site_fract_x
_atom_site_fract_y
_atom_site_fract_z
Ni1 Ni 0.0000 0.0000 0.0000
Sn1 Sn 0.5000 0.5000 0.5000
I1 I 0.0000 0.0000 0.5000
O1 O 0.0000 0.5000 0.0000

Run 2
# NiSnIO2, optimized geometry, DFT PBE with a Hubbard U
# **D(E_F)**: 0.7 states/eV/cell
data_NiSnIO2
_chemical_formula_sum 'Ni1 Sn1 I1 O2'
_space_group_name_H-M_alt 'P 4/m m m'
_space_group_IT_number 123
_space_group_name_Hall '-P 4 2'
_cell_length_a 3.9548
_cell_length_b 3.9548
_cell_length_c 6.6458
_cell_angle_alpha 90.00
_cell_angle_beta 90.00
_cell_angle_gamma 90.00
loop_
_atom_site_label
_atom_site_type_symbol
_atom_site_fract_x
_atom_site_fract_y
_atom_site_fract_z
Ni1 Ni 0.0000 0.0000 0.0000
Sn1 Sn 0.5000 0.5000 0.5000
I1 I 0.5000 0.5000 0.0000
O1 O 0.0000 0.5000 0.5000

Relative to the most stable one, in eV/atom, the structures come out at run 1 0.448; run 2 0.000.